(1)
# Y3TePd12, optimized geometry, DFT GGA-PBE
# formation energy (no corrections): -0.682 eV per atom
# spin magnetization: 0.00 μB/f.u.
# E: -5.985 eV/atom
data_Y3TePd12
_space_group_name_H-M_alt 'P 4/m m m'
_space_group_IT_number 123
_space_group_name_Hall '-P 4 2'
_cell_length_a 4.122
_cell_length_b 4.122
_cell_length_c 16.478
_cell_angle_alpha 90.00
_cell_angle_beta 90.00
_cell_angle_gamma 90.00
loop_
_atom_site_label
_atom_site_type_symbol
_atom_site_fract_x
_atom_site_fract_y
_atom_site_fract_z
Y1 Y 0.000 0.000 0.000
Y2 Y 0.000 0.000 0.249
Te1 Te 0.000 0.000 0.500
Pd1 Pd 0.000 0.500 0.126
Pd2 Pd 0.000 0.500 0.379
Pd3 Pd 0.500 0.500 0.000
Pd4 Pd 0.500 0.500 0.255
Pd5 Pd 0.500 0.500 0.500

(2)
# YTe3Pd, optimized geometry, DFT GGA-PBE
# energy relative to the lowest polymorph listed for this composition: 523 meV per atom
# formation energy (no corrections): 0.218 eV per atom
# spin magnetization: 0.00 μB/f.u.
# E: -3.998 eV/atom
data_YTe3Pd
_space_group_name_H-M_alt 'P m -3 m'
_space_group_IT_number 221
_space_group_name_Hall '-P 4 2 3'
_cell_length_a 5.795
_cell_length_b 5.795
_cell_length_c 5.795
_cell_angle_alpha 90.00
_cell_angle_beta 90.00
_cell_angle_gamma 90.00
loop_
_atom_site_label
_atom_site_type_symbol
_atom_site_fract_x
_atom_site_fract_y
_atom_site_fract_z
Y1 Y 0.000 0.000 0.000
Te1 Te 0.000 0.000 0.500
Pd1 Pd 0.500 0.500 0.500

(3)
# Y2Te3Pd, optimized geometry, DFT GGA-PBE
# formation energy (no corrections): -1.200 eV per atom
# spin magnetization: 0.00 μB/f.u.
# E: -5.791 eV/atom
data_Y2Te3Pd
_space_group_name_H-M_alt 'P n m a'
_space_group_IT_number 62
_cell_length_a 12.558
_cell_length_b 4.323
_cell_length_c 11.904
_cell_angle_alpha 90.00
_cell_angle_beta 90.00
_cell_angle_gamma 90.00
loop_
_space_group_symop_operation_xyz
'x,y,z'
'-x,-y,-z'
'-x+1/2,-y,z+1/2'
'x+1/2,y,-z+1/2'
'x+1/2,-y+1/2,-z+1/2'
'-x+1/2,y+1/2,z+1/2'
'-x,y+1/2,-z'
'x,-y+1/2,z'
loop_
_atom_site_label
_atom_site_type_symbol
_atom_site_fract_x
_atom_site_fract_y
_atom_site_fract_z
Y1 Y 0.037 0.250 0.190
Y2 Y 0.207 0.250 0.480
Te1 Te 0.042 0.750 0.381
Te2 Te 0.112 0.250 0.937
Te3 Te 0.190 0.750 0.674
Pd1 Pd 0.212 0.750 0.248

(4)
# YTePd3, optimized geometry, DFT GGA-PBE
# energy relative to the lowest polymorph listed for this composition: 649 meV per atom
# formation energy (no corrections): 0.443 eV per atom
# spin magnetization: 0.00 μB/f.u.
# E: -4.594 eV/atom
data_YTePd3
_space_group_name_H-M_alt 'P m -3 m'
_space_group_IT_number 221
_space_group_name_Hall '-P 4 2 3'
_cell_length_a 5.057
_cell_length_b 5.057
_cell_length_c 5.057
_cell_angle_alpha 90.00
_cell_angle_beta 90.00
_cell_angle_gamma 90.00
loop_
_atom_site_label
_atom_site_type_symbol
_atom_site_fract_x
_atom_site_fract_y
_atom_site_fract_z
Y1 Y 0.000 0.000 0.000
Te1 Te 0.500 0.500 0.500
Pd1 Pd 0.000 0.000 0.500